The following is a PBE calculation of crystalline K2TlFe at its relaxed geometry, from Alexandria.

Calculated values
Raw total energy in eV per atom: -2.536
N(E_F) in states/eV/atom: 0.73
ρ in g/cm³: 4.29
E_form in meV/atom: 720.0

The structure in CIF format:
```
data_K2TlFe
_symmetry_space_group_name_H-M 'C 1 2/m 1'
_symmetry_Int_Tables_number 12
_symmetry_space_group_name_Hall '-C 2y'
_cell_length_a 6.4308
_cell_length_b 11.0822
_cell_length_c 3.6733
_cell_angle_alpha 90.00
_cell_angle_beta 90.72
_cell_angle_gamma 90.00
loop_
_atom_site_label
_atom_site_fract_x
_atom_site_fract_y
_atom_site_fract_z
_atom_site_occupancy
K1 0.2500 0.2500 0.0000 1
Tl1 0.0000 0.0000 0.5000 1
Fe1 0.0000 0.5000 0.5000 1
```